# PrNpAg2O6 | Alexandria via LeMat-Bulk | PBE-GGA | optimized geometry
# Energy   -146.12 eV/cell
# Raw formation energy   -1988.7 meV per atom
data_PrNpAg2O6
_space_group_name_H-M_alt 'P 1 21/c 1'
_space_group_IT_number 14
_cell_length_a 5.872
_cell_length_b 5.990
_cell_length_c 10.300
_cell_angle_alpha 90.00
_cell_angle_beta 124.06
_cell_angle_gamma 90.00
loop_
_space_group_symop_operation_xyz
'x,y,z'
'-x,-y,-z'
'-x,y+1/2,-z+1/2'
'x,-y+1/2,z+1/2'
loop_
_atom_site_label
_atom_site_type_symbol
_atom_site_fract_x
_atom_site_fract_y
_atom_site_fract_z
Pr1 Pr 0.000 0.000 0.000
Np1 Np 0.500 0.000 0.500
Ag1 Ag 0.252 0.029 0.754
O1 O 0.169 0.049 0.271
O2 O 0.263 0.667 0.054
O3 O 0.398 0.210 0.057

---

# NpAg2PtO6 | Alexandria via LeMat-Bulk | PBE-GGA | optimized geometry
# Energy   -133.11 eV/cell
# Raw formation energy   -1212.2 meV per atom
data_NpAg2PtO6
_space_group_name_H-M_alt 'C 1 2/m 1'
_space_group_IT_number 12
_cell_length_a 10.726
_cell_length_b 5.709
_cell_length_c 4.879
_cell_angle_alpha 90.00
_cell_angle_beta 108.81
_cell_angle_gamma 90.00
loop_
_space_group_symop_operation_xyz
'x,y,z'
'-x,-y,-z'
'-x,y,-z'
'x,-y,z'
'x+1/2,y+1/2,z'
'-x+1/2,-y+1/2,-z'
'-x+1/2,y+1/2,-z'
'x+1/2,-y+1/2,z'
loop_
_atom_site_label
_atom_site_type_symbol
_atom_site_fract_x
_atom_site_fract_y
_atom_site_fract_z
Np1 Np 0.000 0.000 0.000
Ag1 Ag 0.218 0.500 0.218
Pt1 Pt 0.000 0.500 0.500
O1 O 0.084 0.267 0.801
O2 O 0.158 0.000 0.308